La2MgNiTe: optimized geometry, PBE-GGA.

a = 5.355 Å, b = 5.355 Å, c = 4.916 Å
α = 90.00°, β = 90.00°, γ = 90.00°
Fractional coordinates of all 5 atoms:
La 0.000 0.500 0.000
La 0.500 0.000 0.000
Ni 0.000 0.000 0.000
Te 0.500 0.500 0.500
Mg 0.000 0.000 0.500

Total energy ... -4.714 eV per atom
Space-group type ... P4/mmm (123)

***

Tm2Ge2BiRh5: optimized geometry, PBE-GGA.

a = 3.699 Å, b = 9.801 Å, c = 9.801 Å
α = 90.00°, β = 90.00°, γ = 90.00°
Fractional coordinates of all 20 atoms:
Rh 0.500 0.929 0.216
Rh 0.500 0.216 0.071
Rh 0.500 0.071 0.784
Rh 0.500 0.429 0.284
Rh 0.500 0.716 0.429
Rh 0.500 0.784 0.929
Rh 0.500 0.000 0.500
Rh 0.500 0.284 0.571
Rh 0.500 0.500 0.000
Rh 0.500 0.571 0.716
Tm 0.000 0.176 0.324
Tm 0.000 0.324 0.824
Tm 0.000 0.676 0.176
Tm 0.000 0.824 0.676
Ge 0.000 0.879 0.379
Ge 0.000 0.621 0.879
Ge 0.000 0.379 0.121
Ge 0.000 0.121 0.621
Bi 0.000 0.500 0.500
Bi 0.000 0.000 0.000

Total energy ... -6.618 eV per atom
Space-group type ... P4/mbm (127)